An optimized crystal structure of Zn2CrAsF, computed with PBE with a Hubbard U.

Geometry as POSCAR:
```
Zn2CrAsF
1.0
4.898 0.000 0.000
0.000 5.016 0.000
0.000 0.000 4.898
Cr As Zn F
1 1 2 1
direct
0.000 0.500 0.000 Cr
0.000 0.000 0.000 As
0.000 0.000 0.500 Zn
0.500 0.000 0.000 Zn
0.500 0.500 0.500 F
```

The density of states at the Fermi level comes out at 0.27 states/eV/atom. Its crystal system is tetragonal. For the total energy, the calculation gives -3.398 eV per atom.


An optimized crystal structure of ZnCrAs2F, computed with PBE with a Hubbard U.

Geometry as POSCAR:
```
ZnCrAs2F
1.0
4.609 0.000 0.000
0.000 5.011 0.000
0.000 0.000 4.609
Cr As Zn F
1 2 1 1
direct
0.000 0.000 0.000 Cr
0.000 0.000 0.500 As
0.500 0.000 0.000 As
0.000 0.500 0.000 Zn
0.500 0.500 0.500 F
```

The density of states at the Fermi level comes out at 0.40 states/eV/atom. Its crystal system is tetragonal. For the total energy, the calculation gives -3.757 eV per atom.